# Rb2BiC

An optimized crystal structure of Rb2BiC (PBEsol, the Alexandria database).

Structure (CIF):
```
data_Rb2BiC
_chemical_formula_sum 'Rb2 Bi1 C1'
_cell_length_a 5.862
_cell_length_b 5.862
_cell_length_c 5.862
_cell_angle_alpha 60.00
_cell_angle_beta 60.00
_cell_angle_gamma 60.00
_symmetry_space_group_name_H-M 'P 1'
_symmetry_Int_Tables_number 1
loop_
_symmetry_equiv_pos_as_xyz
'x,y,z'
loop_
_atom_site_label
_atom_site_type_symbol
_atom_site_fract_x
_atom_site_fract_y
_atom_site_fract_z
C1 C 0.000 0.000 0.000
Bi1 Bi 0.500 0.500 0.500
Rb1 Rb 0.250 0.250 0.250
Rb2 Rb 0.750 0.750 0.750
```

Properties
- E_form: 1.3969 eV per atom
- Symmetry: Fm-3m, No. 225